Compound: Co2SO
Source: Alexandria via LeMat-Bulk
Functional: PBE with a Hubbard U
Structure: relaxed

POSCAR file:
```
Co2SO
1.0
5.0013 0.0000 0.0000
0.0000 5.0013 0.0000
2.5007 2.5007 4.9878
Co O S
4 2 2
direct
0.8750 0.8201 0.7500
0.3750 0.4299 0.7500
0.1799 0.6250 0.2500
0.5701 0.1250 0.2500
0.2500 0.7500 0.5000
0.5000 0.5000 0.0000
0.0000 0.0000 0.0000
0.7500 0.2500 0.5000
```

crystal system = tetragonal
ΔE to the lowest computed polymorph = 0.0 meV/atom
M_tot = 12.0 Bohr magnetons per cell